No. 1
## VSiO2F (PBE with a Hubbard U)

Data for a geometry-optimized VSiO2F structure.

a = 3.6464 Å, b = 3.6464 Å, c = 3.9013 Å
α = 90.00°, β = 90.00°, γ = 90.00°
Site moments in Bohr magnetons follow the coordinates.
Fractional positions:
V  0.5000  0.5000  0.5000  3.23
O  0.0000  0.5000  0.0000  -0.01
O  0.5000  0.0000  0.0000  -0.01
F  0.0000  0.0000  0.5000  0.04
Si  0.0000  0.0000  0.0000  0.01

Output
- uncorrected energy (eV/atom) = -6.30
- V (Å³ per atom) = 10.4
- space group = No. 123
- density (kg/m3) = 4162



No. 2
## VSiO2F (PBE with a Hubbard U)

Data for a geometry-optimized VSiO2F structure.

a = 3.8248 Å, b = 3.8248 Å, c = 4.0336 Å
α = 90.00°, β = 90.00°, γ = 90.00°
Fractional positions:
F  0.0000  0.0000  0.5000
V  0.0000  0.0000  0.0000
Si  0.5000  0.5000  0.5000
O  0.0000  0.5000  0.0000
O  0.5000  0.0000  0.0000

Output
- uncorrected energy (eV/atom) = -5.97
- V (Å³ per atom) = 11.8
- space group = No. 123
- density (kg/m3) = 3659



No. 3
## VSiOF2 (PBE with a Hubbard U)

Data for a geometry-optimized VSiOF2 structure.

a = 4.3397 Å, b = 4.3397 Å, c = 3.4739 Å
α = 90.00°, β = 90.00°, γ = 90.00°
Site moments in Bohr magnetons follow the coordinates.
Fractional positions:
O  0.0000  0.0000  0.5000  0.03
V  0.5000  0.5000  0.5000  3.24
F  0.5000  0.0000  0.0000  0.01
F  0.0000  0.5000  0.0000  0.01
Si  0.0000  0.0000  0.0000  0.00

Output
- relative energy among the computed polymorphs (eV/atom) = 0.090
- V (Å³ per atom) = 13.1
- space group = No. 123
- density (kg/m3) = 3376



No. 4
## VSiOF2 (PBE with a Hubbard U)

Data for a geometry-optimized VSiOF2 structure.

a = 4.1279 Å, b = 4.1279 Å, c = 3.8335 Å
α = 90.00°, β = 90.00°, γ = 90.00°
Site moments in Bohr magnetons follow the coordinates.
Fractional positions:
V  0.0000  0.0000  0.0000  -0.22
O  0.0000  0.0000  0.5000  0.09
Si  0.5000  0.5000  0.5000  -0.14
F  0.5000  0.0000  0.0000  0.00
F  0.0000  0.5000  0.0000  0.00

Output
- relative energy among the computed polymorphs (eV/atom) = 0.000
- V (Å³ per atom) = 13.1
- space group = No. 123
- density (kg/m3) = 3382



No. 5
## SiWOF2 (PBE with a Hubbard U)

Data for a geometry-optimized SiWOF2 structure.

a = 4.5310 Å, b = 4.5310 Å, c = 3.4858 Å
α = 90.00°, β = 90.00°, γ = 90.00°
Site moments in Bohr magnetons follow the coordinates.
Fractional positions:
Si  0.0000  0.0000  0.0000  -0.01
F  0.0000  0.5000  0.0000  0.08
F  0.5000  0.0000  0.0000  0.08
O  0.0000  0.0000  0.5000  0.02
W  0.5000  0.5000  0.5000  3.85

Output
- relative energy among the computed polymorphs (eV/atom) = 0.286
- V (Å³ per atom) = 14.3
- space group = No. 123
- density (kg/m3) = 6170



No. 6
## SiWOF2 (PBE with a Hubbard U)

Data for a geometry-optimized SiWOF2 structure.

a = 4.2446 Å, b = 4.2446 Å, c = 4.2373 Å
α = 90.00°, β = 90.00°, γ = 90.00°
Site moments in Bohr magnetons follow the coordinates.
Fractional positions:
F  0.0000  0.5000  0.0000  0.03
F  0.5000  0.0000  0.0000  0.03
W  0.0000  0.0000  0.0000  2.73
O  0.0000  0.0000  0.5000  0.02
Si  0.5000  0.5000  0.5000  -0.04

Output
- relative energy among the computed polymorphs (eV/atom) = 0.000
- V (Å³ per atom) = 15.3
- space group = No. 123
- density (kg/m3) = 5784



What did the fifth record say?
## SiWOF2 (PBE with a Hubbard U)

Data for a geometry-optimized SiWOF2 structure.

a = 4.5310 Å, b = 4.5310 Å, c = 3.4858 Å
α = 90.00°, β = 90.00°, γ = 90.00°
Site moments in Bohr magnetons follow the coordinates.
Fractional positions:
Si  0.0000  0.0000  0.0000  -0.01
F  0.0000  0.5000  0.0000  0.08
F  0.5000  0.0000  0.0000  0.08
O  0.0000  0.0000  0.5000  0.02
W  0.5000  0.5000  0.5000  3.85

Output
- relative energy among the computed polymorphs (eV/atom) = 0.286
- V (Å³ per atom) = 14.3
- space group = No. 123
- density (kg/m3) = 6170



> The highest density belongs to which entry?

number 5